VASP calculation (GGA-PBE) on an optimized crystal structure of TmHf2Rh.

## Properties
calculated volume	80.29	Å³/cell
DFT total energy	-8.02	eV/atom
energy relative to the lowest polymorph listed for this composition	219.8	meV/atom

Lattice parameters (Å, degrees): 4.840 4.840 4.844 60.03 60.03 60.00
Atoms (fractional coordinates):
Rh: 0.500 0.500 0.500
Tm: 0.000 0.000 0.000
Hf: 0.750 0.750 0.749
Hf: 0.250 0.250 0.251